<a>
Here is ZnCoTe at its PBEsol-relaxed geometry from Alexandria. Energies are from SCAN.

Calculated values
symmetry	F-43m
DOS(E_F)	2.14	states/eV/cell

a = 4.1298 Å, b = 4.1298 Å, c = 4.1298 Å
α = 60.00°, β = 60.00°, γ = 60.00°
With the nearest neighbours (Å) after each atom.
Fractional positions:
Co: 0.2500 0.2500 0.2500  4 Te 2.53, 4 Zn 2.53
Te: 0.0000 0.0000 0.0000  4 Co 2.53
Zn: 0.5000 0.5000 0.5000  4 Co 2.53



<b>
Here is ZnCoTe at its PBEsol-relaxed geometry from Alexandria. Energies are from SCAN.

Calculated values
symmetry	I4mm
DOS(E_F)	1.11	states/eV/cell

a = 3.0183 Å, b = 3.0183 Å, c = 6.1204 Å
α = 104.28°, β = 104.28°, γ = 90.00°
With the nearest neighbours (Å) after each atom.
Fractional positions:
Co: 0.9982 0.9982 0.9964  4 Zn 2.57, 4 Te 2.61
Te: 0.6286 0.6286 0.2572  4 Co 2.61
Zn: 0.3732 0.3732 0.7463  4 Co 2.57



The winner here is <a>, beating the second structure by 349 meV per atom.



<a>
Here is Tl2ZnCo at its PBEsol-relaxed geometry from Alexandria. Energies are from SCAN.

Calculated values
symmetry	R3m
DOS(E_F)	1.73	states/eV/cell

a = 3.1825 Å, b = 3.1825 Å, c = 9.0373 Å
α = 79.86°, β = 79.86°, γ = 60.00°
With the nearest neighbours (Å) after each atom.
Fractional positions:
Co: 0.2427 0.2427 0.2718  3 Zn 2.43, 3 Tl 2.68
Tl: 0.9831 0.9831 0.0508  3 Co 2.68
Tl: 0.7579 0.7579 0.7263  3 Zn 3.05, 9 Tl 3.18-3.41
Zn: 0.5163 0.5163 0.4512  3 Co 2.43



<b>
Here is Tl2ZnCo at its PBEsol-relaxed geometry from Alexandria. Energies are from SCAN.

Calculated values
symmetry	I-4m2
DOS(E_F)	1.78	states/eV/cell

a = 4.0069 Å, b = 4.0069 Å, c = 5.3410 Å
α = 112.03°, β = 112.03°, γ = 90.00°
With the nearest neighbours (Å) after each atom.
Fractional positions:
Co: 0.2500 0.7500 0.5000  8 Tl 2.83-3.02, 4 Zn 3.02
Tl: 0.0000 0.0000 0.0000  4 Zn 2.83, 4 Tl 3.02, 4 Co 3.02
Tl: 0.7500 0.2500 0.5000  4 Co 2.83, 4 Zn 3.02, 4 Tl 3.02
Zn: 0.5000 0.5000 0.0000  8 Tl 2.83-3.02, 4 Co 3.02



The winner here is <a>, beating the second structure by 94 meV per atom.



<a>
Here is ZrTlCo2 at its PBEsol-relaxed geometry from Alexandria. Energies are from SCAN.

Calculated values
symmetry	P4mm
DOS(E_F)	2.24	states/eV/cell

a = 3.0792 Å, b = 3.0792 Å, c = 6.7470 Å
α = 90.00°, β = 90.00°, γ = 90.00°
With the nearest neighbours (Å) after each atom.
Fractional positions:
Tl: 0.0000 0.0000 0.4575  5 Co 2.78-2.81, 4 Tl 3.08
Co: 0.0000 0.0000 0.0453  4 Co 2.40
Co: 0.5000 0.5000 0.1936  4 Co 2.40, 1 Zr 2.63
Zr: 0.5000 0.5000 0.8036  5 Co 2.63-2.72



<b>
Here is ZrTlCo2 at its PBEsol-relaxed geometry from Alexandria. Energies are from SCAN.

Calculated values
symmetry	I-4m2
DOS(E_F)	1.49	states/eV/cell

a = 3.7078 Å, b = 3.7099 Å, c = 5.1297 Å
α = 111.20°, β = 111.19°, γ = 90.00°
With the nearest neighbours (Å) after each atom.
Fractional positions:
Tl: 0.5000 0.0000 0.9999  8 Co 2.62-2.88, 4 Zr 2.88
Co: 0.0000 0.5000 0.0001  4 Tl 2.62, 4 Co 2.88, 4 Zr 2.88
Co: 0.7500 0.7500 0.4999  4 Zr 2.62, 4 Co 2.88, 4 Tl 2.88
Zr: 0.2500 0.2500 0.5000  8 Co 2.62-2.88, 4 Tl 2.88



The winner here is <a>, beating the second structure by 166 meV per atom.



<a>
Here is Y2CoW at its PBEsol-relaxed geometry from Alexandria. Energies are from SCAN.

Calculated values
symmetry	P4/mmm
DOS(E_F)	3.40	states/eV/cell

a = 3.1104 Å, b = 3.1104 Å, c = 7.9158 Å
α = 90.00°, β = 90.00°, γ = 89.96°
With the nearest neighbours (Å) after each atom.
Fractional positions:
Co: 0.5000 0.5000 0.5000  8 Y 2.79-2.80, 4 Co 3.11
W: 0.5000 0.5000 0.0000  4 W 3.11, 8 Y 3.13-3.14
Y: 0.0000 0.0000 0.2822  4 Co 2.79-2.80, 4 Y 3.11
Y: 0.0000 0.0000 0.7178  4 Co 2.79-2.80, 4 Y 3.11



<b>
Here is Y2CoW at its PBEsol-relaxed geometry from Alexandria. Energies are from SCAN.

Calculated values
symmetry	P4/mmm
DOS(E_F)	5.89	states/eV/cell

a = 3.1844 Å, b = 4.9557 Å, c = 4.9542 Å
α = 90.00°, β = 90.00°, γ = 90.00°
With the nearest neighbours (Å) after each atom.
Fractional positions:
Co: 0.5000 0.5000 0.0000  8 Y 2.94-2.95, 2 Co 3.18
W: 0.5000 0.0000 0.5000  8 Y 2.94-2.95, 2 W 3.18
Y: 0.0000 0.0000 0.0000  4 W 2.94, 4 Co 2.95, 2 Y 3.18
Y: 0.0000 0.5000 0.5000  4 Co 2.94, 4 W 2.95, 2 Y 3.18



The winner here is <a>, beating the second structure by 18 meV per atom.



<a>
Here is ZrCoW2 at its PBEsol-relaxed geometry from Alexandria. Energies are from SCAN.

Calculated values
symmetry	Fm-3m
DOS(E_F)	3.25	states/eV/cell

a = 4.4189 Å, b = 4.4189 Å, c = 4.4189 Å
α = 60.00°, β = 60.00°, γ = 60.00°
With the nearest neighbours (Å) after each atom.
Fractional positions:
Co: 0.0000 0.0000 0.0000  8 W 2.71
W: 0.2500 0.2500 0.2500  4 Co 2.71, 4 Zr 2.71
W: 0.7500 0.7500 0.7500  4 Co 2.71, 4 Zr 2.71
Zr: 0.5000 0.5000 0.5000  8 W 2.71



<b>
Here is ZrCoW2 at its PBEsol-relaxed geometry from Alexandria. Energies are from SCAN.

Calculated values
symmetry	R-3m
DOS(E_F)	3.60	states/eV/cell

a = 2.7648 Å, b = 2.7648 Å, c = 9.5830 Å
α = 81.71°, β = 81.71°, γ = 60.00°
With the nearest neighbours (Å) after each atom.
Fractional positions:
Co: 0.0000 0.0000 0.0000  6 W 2.60, 6 Co 2.76
W: 0.2609 0.2609 0.2173  3 Co 2.60, 6 W 2.76
W: 0.7391 0.7391 0.7827  3 Co 2.60, 6 W 2.76
Zr: 0.5000 0.5000 0.5000  6 Zr 2.76



The winner here is <b>, beating the second structure by 23 meV per atom.



<a>
Here is ZrCoW2 at its PBEsol-relaxed geometry from Alexandria. Energies are from SCAN.

Calculated values
symmetry	P4mm
DOS(E_F)	1.91	states/eV/cell

a = 3.1672 Å, b = 3.1672 Å, c = 6.2130 Å
α = 90.00°, β = 90.00°, γ = 90.00°
With the nearest neighbours (Å) after each atom.
Fractional positions:
Co: 0.5000 0.5000 0.7621  5 W 2.67-2.90, 4 Zr 2.72
W: 0.0000 0.0000 0.9963  4 W 2.67, 4 Co 2.67
W: 0.5000 0.5000 0.2291  4 W 2.67, 4 Zr 2.85, 1 Co 2.90
Zr: 0.0000 0.0000 0.5125  4 Co 2.72, 5 W 2.85-3.01



<b>
Here is ZrCoW2 at its PBEsol-relaxed geometry from Alexandria. Energies are from SCAN.

Calculated values
symmetry	Cm
DOS(E_F)	3.16	states/eV/cell

a = 2.7075 Å, b = 4.8878 Å, c = 5.1020 Å
α = 103.05°, β = 90.00°, γ = 106.08°
With the nearest neighbours (Å) after each atom.
Fractional positions:
Co: 0.7256 0.4513 0.3043  4 W 2.53-2.73, 3 Zr 2.62-2.64, 2 Co 2.71
W: 0.0369 0.0738 0.9748  2 Co 2.53, 3 W 2.58-2.71
W: 0.2663 0.5325 0.7800  5 W 2.58-2.85, 2 Co 2.73, 1 Zr 2.87
Zr: 0.4712 0.9424 0.4409  3 Co 2.62-2.64, 2 Zr 2.71, 3 W 2.87-2.93



<c>
Here is ZrCoW2 at its PBEsol-relaxed geometry from Alexandria. Energies are from SCAN.

Calculated values
symmetry	Immm
DOS(E_F)	2.66	states/eV/cell

a = 3.1619 Å, b = 4.3956 Å, c = 5.2637 Å
α = 114.68°, β = 107.48°, γ = 90.00°
With the nearest neighbours (Å) after each atom.
Fractional positions:
Co: 0.0000 0.5000 0.0000  4 W 2.69, 4 Zr 2.71
W: 0.7408 0.7408 0.4816  2 Co 2.69, 4 W 2.71, 2 Zr 2.82
W: 0.2592 0.2592 0.5184  2 Co 2.69, 4 W 2.71, 2 Zr 2.82
Zr: 0.5000 0.0000 0.0000  4 Co 2.71, 4 W 2.82



The winner here is <a>, beating the second structure by 119 meV per atom.



<a>
Here is K2CrCu at its PBEsol-relaxed geometry from Alexandria. Energies are from SCAN.

Calculated values
symmetry	Imm2
DOS(E_F)	1.60	states/eV/cell

a = 4.2652 Å, b = 5.7265 Å, c = 6.3111 Å
α = 116.98°, β = 109.75°, γ = 90.00°
With the nearest neighbours (Å) after each atom.
Fractional positions:
Cr: 0.5709 0.5709 0.1419  2 Cu 2.46
Cu: 0.1893 0.6893 0.3786  2 Cr 2.46
K: 0.9673 0.9673 0.9347  4 K 3.51-3.83, 4 Cu 3.60-3.68, 4 Cr 3.73
K: 0.7724 0.2724 0.5449  4 K 3.51-3.83, 4 Cr 3.55-3.77, 4 Cu 3.67



<b>
Here is K2CrCu at its PBEsol-relaxed geometry from Alexandria. Energies are from SCAN.

Calculated values
symmetry	P4/mmm
DOS(E_F)	1.28	states/eV/cell

a = 5.0009 Å, b = 4.7464 Å, c = 4.7464 Å
α = 90.00°, β = 90.00°, γ = 90.00°
With the nearest neighbours (Å) after each atom.
Fractional positions:
Cr: 0.5000 0.5000 0.5000  4 Cu 3.36, 8 K 3.45
Cu: 0.5000 0.0000 0.0000  4 Cr 3.36, 8 K 3.45
K: 0.0000 0.0000 0.5000  4 K 3.36, 4 Cu 3.45, 4 Cr 3.45
K: 0.0000 0.5000 0.0000  4 K 3.36, 4 Cr 3.45, 4 Cu 3.45



The winner here is <a>, beating the second structure by 219 meV per atom.



<a>
Here is LaCrCu at its PBEsol-relaxed geometry from Alexandria. Energies are from SCAN.

Calculated values
symmetry	F-43m
DOS(E_F)	2.15	states/eV/cell

a = 4.5937 Å, b = 4.5937 Å, c = 4.5937 Å
α = 60.00°, β = 60.00°, γ = 60.00°
With the nearest neighbours (Å) after each atom.
Fractional positions:
Cr: 0.5000 0.5000 0.5000  4 Cu 2.81
Cu: 0.7500 0.7500 0.7500  4 Cr 2.81, 4 La 2.81
La: 0.0000 0.0000 0.0000  4 Cu 2.81



<b>
Here is LaCrCu at its PBEsol-relaxed geometry from Alexandria. Energies are from SCAN.

Calculated values
symmetry	I4mm
DOS(E_F)	2.95	states/eV/cell

a = 3.3557 Å, b = 3.3557 Å, c = 5.7026 Å
α = 107.11°, β = 107.11°, γ = 90.00°
With the nearest neighbours (Å) after each atom.
Fractional positions:
Cr: 0.0402 0.0402 0.0804  4 Cu 2.55
Cu: 0.6296 0.6296 0.2592  4 Cr 2.55
La: 0.3302 0.3302 0.6603  5 Cr 3.01-3.22, 5 Cu 3.11-3.16, 4 La 3.36



The winner here is <b>, beating the second structure by 37 meV per atom.



<a>
Here is LaCrCu2 at its PBEsol-relaxed geometry from Alexandria. Energies are from SCAN.

Calculated values
symmetry	I4/mmm
DOS(E_F)	2.46	states/eV/cell

a = 4.5977 Å, b = 4.7533 Å, c = 4.5977 Å
α = 118.92°, β = 90.00°, γ = 118.92°
With the nearest neighbours (Å) after each atom.
Fractional positions:
Cr: 0.0000 0.0000 0.0000  8 Cu 2.88
Cu: 0.7500 0.5000 0.2500  4 Cr 2.88, 4 La 2.88
Cu: 0.2500 0.5000 0.7500  4 Cr 2.88, 4 La 2.88
La: 0.5000 0.0000 0.5000  8 Cu 2.88



<b>
Here is LaCrCu2 at its PBEsol-relaxed geometry from Alexandria. Energies are from SCAN.

Calculated values
symmetry	P4/mmm
DOS(E_F)	2.27	states/eV/cell

a = 4.4869 Å, b = 4.4858 Å, c = 3.5496 Å
α = 90.00°, β = 90.00°, γ = 90.00°
With the nearest neighbours (Å) after each atom.
Fractional positions:
Cr: 0.0000 0.5000 0.5000  8 Cu 2.86, 4 La 3.17
Cu: 0.0000 0.0000 0.0000  4 Cr 2.86, 4 La 2.86, 4 Cu 3.17
Cu: 0.5000 0.5000 0.0000  4 La 2.86, 4 Cr 2.86, 4 Cu 3.17
La: 0.5000 0.0000 0.5000  8 Cu 2.86, 4 Cr 3.17



<c>
Here is LaCrCu2 at its PBEsol-relaxed geometry from Alexandria. Energies are from SCAN.

Calculated values
symmetry	I-4m2
DOS(E_F)	1.55	states/eV/cell

a = 4.1945 Å, b = 4.1945 Å, c = 4.9212 Å
α = 115.22°, β = 115.22°, γ = 90.00°
With the nearest neighbours (Å) after each atom.
Fractional positions:
Cr: 0.2500 0.7500 0.5000  4 La 2.87, 8 Cu 2.87-2.97
Cu: 0.0000 0.0000 0.0000  4 Cr 2.87, 4 Cu 2.87, 4 La 2.97
Cu: 0.7500 0.2500 0.5000  4 La 2.87, 4 Cu 2.87, 4 Cr 2.97
La: 0.5000 0.5000 0.0000  8 Cu 2.87-2.97, 4 Cr 2.87



The winner here is <a>, beating the second structure by 121 meV per atom.



<a>
Here is LiCr2Cu at its PBEsol-relaxed geometry from Alexandria. Energies are from SCAN.

Calculated values
symmetry	I4/mmm
DOS(E_F)	2.99	states/eV/cell

a = 3.2546 Å, b = 3.2546 Å, c = 4.7632 Å
α = 109.98°, β = 109.98°, γ = 90.00°
With the nearest neighbours (Å) after each atom.
Fractional positions:
Cr: 0.7500 0.2500 0.5000  4 Cr 2.30
Cr: 0.2500 0.7500 0.5000  4 Cr 2.30
Cu: 0.5000 0.5000 0.0000  4 Li 2.30
Li: 0.0000 0.0000 0.0000  4 Cu 2.30



<b>
Here is LiCr2Cu at its PBEsol-relaxed geometry from Alexandria. Energies are from SCAN.

Calculated values
symmetry	Cmm2
DOS(E_F)	2.47	states/eV/cell

a = 2.4048 Å, b = 2.4048 Å, c = 8.5211 Å
α = 90.00°, β = 90.00°, γ = 108.81°
With the nearest neighbours (Å) after each atom.
Fractional positions:
Cr: 0.0000 0.0000 0.9841  6 Cr 2.40-2.42
Cr: 0.5000 0.5000 0.7530  6 Cr 2.40-2.42, 2 Cu 2.52
Cu: 0.0000 0.0000 0.5068  4 Cu 2.40, 2 Cr 2.52, 2 Li 2.55
Li: 0.5000 0.5000 0.2562  4 Li 2.40, 2 Cu 2.55



The winner here is <b>, beating the second structure by 193 meV per atom.



<a>
Here is Li2CrCuO4 at its PBEsol-relaxed geometry from Alexandria. Energies are from SCAN.

Calculated values
symmetry	P2/m
DOS(E_F)	2.89	states/eV/cell

a = 2.7992 Å, b = 5.5397 Å, c = 5.1866 Å
α = 118.29°, β = 90.00°, γ = 90.00°
With the nearest neighbours (Å) after each atom.
Fractional positions:
Cr: 0.5000 0.5000 0.5000  6 O 1.91-1.92
O: 0.0000 0.2873 0.2398  2 Cr 1.91, 3 Li 2.04-2.08
O: 0.0000 0.7127 0.7602  2 Cr 1.91, 3 Li 2.04-2.08
O: 0.5000 0.7318 0.3188  1 Cr 1.92, 2 Cu 1.93, 2 Li 2.08
O: 0.5000 0.2682 0.6812  1 Cr 1.92, 2 Cu 1.93, 2 Li 2.08
Cu: 0.0000 0.0000 0.5000  4 O 1.93
Li: 0.0000 0.5000 0.0000  6 O 2.08
Li: 0.5000 0.0000 0.0000  4 O 2.04



<b>
Here is Li2CrCuO4 at its PBEsol-relaxed geometry from Alexandria. Energies are from SCAN.

Calculated values
symmetry	I-4m2
DOS(E_F)	2.86	states/eV/cell

a = 3.9106 Å, b = 3.9106 Å, c = 5.1675 Å
α = 112.23°, β = 112.23°, γ = 90.00°
With the nearest neighbours (Å) after each atom.
Fractional positions:
Cr: 0.0000 0.0000 0.0000  6 O 1.93-1.96
O: 0.9944 0.4944 0.9889  2 Li 1.96, 2 Cr 1.96, 1 Cu 2.13
O: 0.5056 0.0056 0.0111  2 Cr 1.96, 2 Li 1.96, 1 Cu 2.13
O: 0.7785 0.7785 0.5569  1 Cr 1.93, 2 Li 1.97, 2 Cu 1.97
O: 0.2215 0.2215 0.4431  1 Cr 1.93, 2 Li 1.97, 2 Cu 1.97
Cu: 0.7500 0.2500 0.5000  6 O 1.97-2.13
Li: 0.2500 0.7500 0.5000  4 O 1.97
Li: 0.5000 0.5000 0.0000  4 O 1.96



The winner here is <a>, beating the second structure by 18 meV per atom.



<a>
Here is CrCu2Re at its PBEsol-relaxed geometry from Alexandria. Energies are from SCAN.

Calculated values
symmetry	P4/mmm
DOS(E_F)	2.82	states/eV/cell

a = 3.4687 Å, b = 3.4687 Å, c = 4.0204 Å
α = 90.00°, β = 90.00°, γ = 90.00°
With the nearest neighbours (Å) after each atom.
Fractional positions:
Cr: 0.0000 0.0000 0.5000  4 Re 2.45, 8 Cu 2.65
Cu: 0.0000 0.5000 0.0000  4 Cu 2.45, 4 Re 2.65, 4 Cr 2.65
Cu: 0.5000 0.0000 0.0000  4 Cu 2.45, 4 Re 2.65, 4 Cr 2.65
Re: 0.5000 0.5000 0.5000  4 Cr 2.45, 8 Cu 2.65



<b>
Here is CrCu2Re at its PBEsol-relaxed geometry from Alexandria. Energies are from SCAN.

Calculated values
symmetry	I-4m2
DOS(E_F)	1.78	states/eV/cell

a = 3.6680 Å, b = 3.6709 Å, c = 4.4433 Å
α = 114.40°, β = 114.38°, γ = 90.01°
With the nearest neighbours (Å) after each atom.
Fractional positions:
Cr: 0.7500 0.2501 0.5000  4 Re 2.57, 8 Cu 2.57-2.60
Cu: 0.0000 0.0000 0.9999  4 Cu 2.57, 4 Cr 2.57, 4 Re 2.59-2.60
Cu: 0.2500 0.7500 0.5001  4 Cu 2.57, 4 Re 2.57, 4 Cr 2.59-2.60
Re: 0.5000 0.4999 0.9999  4 Cr 2.57, 8 Cu 2.57-2.60



The winner here is <b>, beating the second structure by 8 meV per atom.